The following is a GGA-PBE calculation of crystalline CrHgSb2 at its relaxed geometry, from the Alexandria database.

Properties
Uncorrected formation energy, meV per atom: 349
Space-group type: C2/m, No. 12
Calculated volume, Å³ per atom: 24.8
Energy above the lowest structure with this stoichiometry, eV per atom: 0.1984
Crystal system: monoclinic

Unit cell a=4.954 b=4.954 c=4.377 alpha=78.19 beta=78.19 gamma=102.69
Site moments in Bohr magnetons follow the coordinates.
Positions (direct):
Cr1 0.500 0.000 0.500  3.70
Hg1 0.000 0.500 0.500  0.00
Sb1 0.000 0.000 0.000  -0.10
Sb2 0.500 0.500 0.000  -0.10